First-principles (GGA-PBE) data for a relaxed structure of BeTcIr2F, as listed in the Alexandria database.

Unit cell a=4.658 b=4.658 c=4.424 alpha=90.00 beta=90.00 gamma=90.00
Space group P4/mmm (No. 123)
Unique sites:
Be: 0.000 0.000 0.000 (multiplicity 1)
Tc: 0.000 0.000 0.500 (multiplicity 1)
Ir: 0.000 0.500 0.500 (multiplicity 2)
F: 0.500 0.500 0.000 (multiplicity 1)

Computed properties:
Formation energy (no corrections) = 1.42 eV/atom